<w>
DFT (PBE-GGA) results for an optimized crystal structure of Pr2RuC.

## Properties
calculated volume	101.2	Å³/f.u.
total magnetization	0.0	μB per cell

Cell: 14.267 3.934 3.735 Å, 90.00 105.11 90.00°
Fractional positions:
Pr: 0.126 0.000 0.126
Pr: 0.374 0.500 0.874
Pr: 0.626 0.500 0.126
Pr: 0.874 0.000 0.874
Ru: 0.000 0.500 0.500
Ru: 0.500 0.000 0.500
C: 0.000 0.000 0.500
C: 0.500 0.500 0.500

---

<x>
DFT (PBE-GGA) results for an optimized crystal structure of Pr2RuC.

## Properties
calculated volume	83.8	Å³/f.u.
total magnetization	0.0	μB per cell

Cell: 5.279 3.457 9.191 Å, 90.00 92.05 90.00°
Fractional positions:
Pr: 0.243 0.250 0.094
Pr: 0.250 0.750 0.428
Pr: 0.750 0.250 0.572
Pr: 0.757 0.750 0.906
Ru: 0.236 0.250 0.753
Ru: 0.764 0.750 0.247
C: 0.076 0.750 0.694
C: 0.924 0.250 0.306

---

Stability summary - winner: <w>; margin: 10.6 kJ/mol of atoms.